[1]
# ThVRe, optimized geometry, DFT PBE-GGA
# **Offset from the most stable computed form**: 0 meV per atom
# **Mass density**: 13.1 g cm⁻³
# **Magnetization**: 0.000 μB per atom
# **E_form**: 0.4 eV per formula unit
# **Volume**: 19.84 A^3/atom
# **Fermi-level density of states**: 1.076 states/eV/atom
data_ThVRe
_symmetry_space_group_name_H-M 'I 4 m m'
_symmetry_Int_Tables_number 107
_symmetry_space_group_name_Hall 'I 4 -2'
_cell_length_a 3.189
_cell_length_b 3.189
_cell_length_c 11.711
_cell_angle_alpha 90.00
_cell_angle_beta 90.00
_cell_angle_gamma 90.00
loop_
_atom_site_label
_atom_site_type_symbol
_atom_site_fract_x
_atom_site_fract_y
_atom_site_fract_z
_atom_site_occupancy
Th1 Th 0.000 0.000 0.000 1
V1 V 0.000 0.000 0.705 1
Re1 Re 0.000 0.000 0.305 1



[2]
# ThVRe, optimized geometry, DFT PBE-GGA
# **Offset from the most stable computed form**: 289 meV per atom
# **Mass density**: 11.7 g cm⁻³
# **Magnetization**: 0.000 μB per atom
# **E_form**: 1.3 eV per formula unit
# **Volume**: 22.26 A^3/atom
# **Fermi-level density of states**: 0.814 states/eV/atom
data_ThVRe
_symmetry_space_group_name_H-M 'R -3 m'
_symmetry_Int_Tables_number 166
_symmetry_space_group_name_Hall '-R 3 2"'
_cell_length_a 4.1923
_cell_length_b 4.1923
_cell_length_c 26.3219
_cell_angle_alpha 90.00
_cell_angle_beta 90.00
_cell_angle_gamma 120.00
loop_
_atom_site_label
_atom_site_type_symbol
_atom_site_fract_x
_atom_site_fract_y
_atom_site_fract_z
_atom_site_occupancy
Th1 Th 0.0000 0.0000 0.1200 1
V1 V 0.0000 0.0000 0.2759 1
Re1 Re 0.0000 0.0000 0.3714 1



[3]
# ThRe2W, optimized geometry, DFT PBE-GGA
# **Mass density**: 17.3 g cm⁻³
# **Magnetization**: 0.000 μB per atom
# **E_form**: 2.4 eV per formula unit
# **Volume**: 18.91 A^3/atom
# **Fermi-level density of states**: 1.071 states/eV/atom
data_ThRe2W
_symmetry_space_group_name_H-M 'R -3 m'
_symmetry_Int_Tables_number 166
_symmetry_space_group_name_Hall '-R 3 2"'
_cell_length_a 3.0515
_cell_length_b 3.0515
_cell_length_c 28.1456
_cell_angle_alpha 90.00
_cell_angle_beta 90.00
_cell_angle_gamma 120.00
loop_
_atom_site_label
_atom_site_type_symbol
_atom_site_fract_x
_atom_site_fract_y
_atom_site_fract_z
_atom_site_occupancy
Th1 Th 0.0000 0.0000 0.0000 1
Re1 Re 0.0000 0.0000 0.2370 1
W1 W 0.0000 0.0000 0.5000 1



[4]
# Th2Re3W, optimized geometry, DFT PBE-GGA
# **Mass density**: 16.5 g cm⁻³
# **Magnetization**: 0.000 μB per atom
# **E_form**: -0.1 eV per formula unit
# **Volume**: 20.24 A^3/atom
# **Fermi-level density of states**: 1.153 states/eV/atom
data_Th2Re3W
_symmetry_space_group_name_H-M 'C 1 2/m 1'
_symmetry_Int_Tables_number 12
_symmetry_space_group_name_Hall '-C 2y'
_cell_length_a 9.137
_cell_length_b 5.708
_cell_length_c 5.436
_cell_angle_alpha 90.00
_cell_angle_beta 121.04
_cell_angle_gamma 90.00
loop_
_atom_site_label
_atom_site_type_symbol
_atom_site_fract_x
_atom_site_fract_y
_atom_site_fract_z
_atom_site_occupancy
Th1 Th 0.125 0.000 0.375 1
Re1 Re 0.000 0.500 0.500 1
Re2 Re 0.250 0.250 0.000 1
W1 W 0.000 0.500 0.000 1



[5]
# YThZnRe, optimized geometry, DFT PBE-GGA
# **Mass density**: 10.5 g cm⁻³
# **Magnetization**: 0.000 μB per atom
# **E_form**: -0.1 eV per formula unit
# **Volume**: 22.65 A^3/atom
# **Fermi-level density of states**: 1.411 states/eV/atom
data_YThZnRe
_symmetry_space_group_name_H-M 'F -4 3 m'
_symmetry_Int_Tables_number 216
_symmetry_space_group_name_Hall 'F -4 2 3'
_cell_length_a 7.130
_cell_length_b 7.130
_cell_length_c 7.130
_cell_angle_alpha 90.00
_cell_angle_beta 90.00
_cell_angle_gamma 90.00
loop_
_atom_site_label
_atom_site_type_symbol
_atom_site_fract_x
_atom_site_fract_y
_atom_site_fract_z
_atom_site_occupancy
Y1 Y 0.000 0.000 0.000 1
Th1 Th 0.000 0.000 0.500 1
Zn1 Zn 0.250 0.250 0.250 1
Re1 Re 0.250 0.250 0.750 1



[6]
# Th2ZnRe, optimized geometry, DFT PBE-GGA
# **Mass density**: 11.3 g cm⁻³
# **Magnetization**: 0.000 μB per atom
# **E_form**: 2.3 eV per formula unit
# **Volume**: 26.27 A^3/atom
# **Fermi-level density of states**: 1.536 states/eV/atom
data_Th2ZnRe
_symmetry_space_group_name_H-M 'R -3 m'
_symmetry_Int_Tables_number 166
_symmetry_space_group_name_Hall '-R 3 2"'
_cell_length_a 3.3311
_cell_length_b 3.3311
_cell_length_c 32.8094
_cell_angle_alpha 90.00
_cell_angle_beta 90.00
_cell_angle_gamma 120.00
loop_
_atom_site_label
_atom_site_type_symbol
_atom_site_fract_x
_atom_site_fract_y
_atom_site_fract_z
_atom_site_occupancy
Th1 Th 0.0000 0.0000 0.0972 1
Zn1 Zn 0.0000 0.0000 0.0000 1
Re1 Re 0.0000 0.0000 0.5000 1



[7]
# Th2ZnRe, optimized geometry, DFT PBE-GGA
# **Mass density**: 12.3 g cm⁻³
# **Magnetization**: 0.000 μB per atom
# **E_form**: -0.2 eV per formula unit
# **Volume**: 24.08 A^3/atom
# **Fermi-level density of states**: 0.770 states/eV/atom
data_Th2ZnRe
_symmetry_space_group_name_H-M 'P 4/m m m'
_symmetry_Int_Tables_number 123
_symmetry_space_group_name_Hall '-P 4 2'
_cell_length_a 3.568
_cell_length_b 3.568
_cell_length_c 7.564
_cell_angle_alpha 90.00
_cell_angle_beta 90.00
_cell_angle_gamma 90.00
loop_
_atom_site_label
_atom_site_type_symbol
_atom_site_fract_x
_atom_site_fract_y
_atom_site_fract_z
_atom_site_occupancy
Th1 Th 0.000 0.000 0.234 1
Zn1 Zn 0.500 0.500 0.500 1
Re1 Re 0.500 0.500 0.000 1



[8]
# ThZn4Re, optimized geometry, DFT PBE-GGA
# **Mass density**: 11.0 g cm⁻³
# **Magnetization**: 0.000 μB per atom
# **E_form**: -0.2 eV per formula unit
# **Volume**: 17.05 A^3/atom
# **Fermi-level density of states**: 0.371 states/eV/atom
data_ThZn4Re
_symmetry_space_group_name_H-M 'F -4 3 m'
_symmetry_Int_Tables_number 216
_symmetry_space_group_name_Hall 'F -4 2 3'
_cell_length_a 7.424
_cell_length_b 7.424
_cell_length_c 7.424
_cell_angle_alpha 90.00
_cell_angle_beta 90.00
_cell_angle_gamma 90.00
loop_
_atom_site_label
_atom_site_type_symbol
_atom_site_fract_x
_atom_site_fract_y
_atom_site_fract_z
_atom_site_occupancy
Th1 Th 0.000 0.000 0.000 1
Zn1 Zn 0.123 0.123 0.377 1
Re1 Re 0.250 0.250 0.750 1



[9]
# ThZrZnRe, optimized geometry, DFT PBE-GGA
# **Mass density**: 11.3 g cm⁻³
# **Magnetization**: 0.000 μB per atom
# **E_form**: -0.1 eV per formula unit
# **Volume**: 21.18 A^3/atom
# **Fermi-level density of states**: 1.039 states/eV/atom
data_ThZrZnRe
_symmetry_space_group_name_H-M 'F -4 3 m'
_symmetry_Int_Tables_number 216
_symmetry_space_group_name_Hall 'F -4 2 3'
_cell_length_a 6.971
_cell_length_b 6.971
_cell_length_c 6.971
_cell_angle_alpha 90.00
_cell_angle_beta 90.00
_cell_angle_gamma 90.00
loop_
_atom_site_label
_atom_site_type_symbol
_atom_site_fract_x
_atom_site_fract_y
_atom_site_fract_z
_atom_site_occupancy
Th1 Th 0.000 0.000 0.000 1
Zr1 Zr 0.000 0.000 0.500 1
Zn1 Zn 0.250 0.250 0.250 1
Re1 Re 0.250 0.250 0.750 1



[10]
# ThZr2Re, optimized geometry, DFT PBE-GGA
# **Mass density**: 10.9 g cm⁻³
# **Magnetization**: 0.000 μB per atom
# **E_form**: -0.3 eV per formula unit
# **Volume**: 22.91 A^3/atom
# **Fermi-level density of states**: 0.789 states/eV/atom
data_ThZr2Re
_symmetry_space_group_name_H-M 'P 4/m m m'
_symmetry_Int_Tables_number 123
_symmetry_space_group_name_Hall '-P 4 2'
_cell_length_a 3.343
_cell_length_b 3.343
_cell_length_c 8.200
_cell_angle_alpha 90.00
_cell_angle_beta 90.00
_cell_angle_gamma 90.00
loop_
_atom_site_label
_atom_site_type_symbol
_atom_site_fract_x
_atom_site_fract_y
_atom_site_fract_z
_atom_site_occupancy
Th1 Th 0.000 0.000 0.000 1
Zr1 Zr 0.500 0.500 0.307 1
Re1 Re 0.000 0.000 0.500 1



[11]
# TiRe, optimized geometry, DFT PBE-GGA
# **Mass density**: 6.3 g cm⁻³
# **Magnetization**: 0.000 μB per atom
# **E_form**: 3.5 eV per formula unit
# **Volume**: 30.73 A^3/atom
# **Fermi-level density of states**: 1.515 states/eV/atom
data_TiRe
_symmetry_space_group_name_H-M 'I -4 3 m'
_symmetry_Int_Tables_number 217
_symmetry_space_group_name_Hall 'I -4 2 3'
_cell_length_a 7.893
_cell_length_b 7.893
_cell_length_c 7.893
_cell_angle_alpha 90.00
_cell_angle_beta 90.00
_cell_angle_gamma 90.00
loop_
_atom_site_label
_atom_site_type_symbol
_atom_site_fract_x
_atom_site_fract_y
_atom_site_fract_z
_atom_site_occupancy
Ti1 Ti 0.179 0.179 0.179 1
Re1 Re 0.124 0.124 0.876 1



[12]
# TiRe3, optimized geometry, DFT PBE-GGA
# **Mass density**: 15.6 g cm⁻³
# **Magnetization**: 0.002 μB per atom
# **E_form**: 1.8 eV per formula unit
# **Volume**: 16.11 A^3/atom
# **Fermi-level density of states**: 1.426 states/eV/atom
data_TiRe3
_symmetry_space_group_name_H-M 'P m m 2'
_symmetry_Int_Tables_number 25
_symmetry_space_group_name_Hall 'P 2 -2'
_cell_length_a 2.698
_cell_length_b 2.826
_cell_length_c 8.450
_cell_angle_alpha 90.00
_cell_angle_beta 90.00
_cell_angle_gamma 90.00
loop_
_atom_site_label
_atom_site_type_symbol
_atom_site_fract_x
_atom_site_fract_y
_atom_site_fract_z
_atom_site_occupancy
Ti1 Ti 0.000 0.000 0.000 1
Re1 Re 0.000 0.500 0.268 1
Re2 Re 0.500 0.000 0.488 1
Re3 Re 0.500 0.500 0.751 1